Entry 1:
The following is a DFT calculation (PBE-GGA) of a relaxed TbB2Rh2 crystal.

abc: 3.8295 3.8295 9.4516
angles: 90.00 90.00 90.00
Last column: nearest neighbours and their distance in Å.
Space group I4/mmm (No. 139)
Symmetry-distinct sites (fractional):
Tb 0.0000 0.0000 0.0000  8 B 3.02, 8 Rh 3.04
B 0.0000 0.0000 0.3581  4 Rh 2.17
Rh 0.0000 0.5000 0.2500  4 B 2.17

Computed properties:
* DOS at the Fermi energy: 0.718 states/eV/f.u.
* calculated volume: 139 Å³ per cell
* raw total energy: -72.02 eV per cell
* mass density: 9.3 g/cm3

***

Entry 2:
The following is a DFT calculation (PBE-GGA) of a relaxed Tb2B7Rh12 crystal.

abc: 8.8382 8.8382 3.9580
angles: 90.00 90.00 120.00
Last column: nearest neighbours and their distance in Å.
Space group P-3 (No. 147)
Symmetry-distinct sites (fractional):
Tb 0.3333 0.6667 0.2528  6 B 2.93-2.94, 12 Rh 2.95-3.23
B 0.0000 0.0000 0.5000  6 Rh 2.13
B 0.1085 0.7038 0.7557  3 Rh 2.08-2.23
Rh 0.0651 0.4432 0.7505  2 B 2.14-2.23
Rh 0.0973 0.2456 0.2530  2 B 2.08-2.13

Computed properties:
* DOS at the Fermi energy: 11.709 states/eV/f.u.
* calculated volume: 268 Å³ per cell
* raw total energy: -153.87 eV per cell
* mass density: 10.1 g/cm3

***

Entry 3:
The following is a DFT calculation (PBE-GGA) of a relaxed TbBRh crystal.

abc: 11.8371 3.2736 5.1205
angles: 90.00 108.13 90.00
Last column: nearest neighbours and their distance in Å.
Space group C2/m (No. 12)
Symmetry-distinct sites (fractional):
Tb 0.1215 0.0000 0.3026  4 B 2.76-2.86, 4 Rh 2.93-3.08
B 0.2326 0.0000 0.8845  2 B 1.99, 3 Rh 2.17
Rh 0.1064 0.5000 0.7657  3 B 2.17

Computed properties:
* energy above the most stable polymorph in this dataset: 0.0000 eV per atom
* DOS at the Fermi energy: 2.361 states/eV/f.u.
* calculated volume: 189 Å³ per cell
* raw total energy: -81.68 eV per cell
* mass density: 9.6 g/cm3

***

Entry 4:
The following is a DFT calculation (PBE-GGA) of a relaxed TbBRh3 crystal.

abc: 4.2108 4.2108 4.2108
angles: 90.00 90.00 90.00
Last column: nearest neighbours and their distance in Å.
Space group Pm-3m (No. 221)
Symmetry-distinct sites (fractional):
Tb 0.0000 0.0000 0.0000  12 Rh 2.98
B 0.5000 0.5000 0.5000  6 Rh 2.11
Rh 0.0000 0.5000 0.5000  2 B 2.11

Computed properties:
* DOS at the Fermi energy: 4.710 states/eV/f.u.
* calculated volume: 75 Å³ per cell
* raw total energy: -37.31 eV per cell
* mass density: 10.6 g/cm3

***

Entry 5:
The following is a DFT calculation (PBE-GGA) of a relaxed Tb2B10Rh crystal.

abc: 5.6873 11.3191 4.1658
angles: 90.00 90.00 90.00
Last column: nearest neighbours and their distance in Å.
Space group Pbam (No. 55)
Symmetry-distinct sites (fractional):
Tb 0.2007 0.1362 0.0000  20 B 2.87-3.07, 2 Rh 3.10
B 0.0551 0.3072 0.5000  4 B 1.65-1.77
B 0.1187 0.9575 0.5000  4 B 1.66-1.78
B 0.1376 0.8024 0.5000  5 B 1.65-1.76
B 0.2193 0.3810 0.1986  4 B 1.65-1.78
Rh 0.0000 0.5000 0.5000  8 B 2.21-2.22

Computed properties:
* DOS at the Fermi energy: 2.060 states/eV/f.u.
* calculated volume: 268 Å³ per cell
* raw total energy: -180.56 eV per cell
* mass density: 6.5 g/cm3

***

Entry 6:
The following is a DFT calculation (PBE-GGA) of a relaxed TbThB2Rh5 crystal.

abc: 4.1852 4.1852 8.3212
angles: 90.00 90.00 90.00
Last column: nearest neighbours and their distance in Å.
Space group P4/mmm (No. 123)
Symmetry-distinct sites (fractional):
Tb 0.0000 0.0000 0.0000  12 Rh 2.96
Th 0.0000 0.0000 0.5000  8 Rh 2.94
B 0.5000 0.5000 0.2681  5 Rh 2.10-2.23
Rh 0.0000 0.5000 0.2520  2 B 2.10
Rh 0.5000 0.5000 0.0000  2 B 2.23

Computed properties:
* DOS at the Fermi energy: 2.218 states/eV/f.u.
* calculated volume: 146 Å³ per cell
* raw total energy: -68.94 eV per cell
* mass density: 10.6 g/cm3